An optimized crystal structure of Tl2BiPb2. Source: Alexandria via LeMat-Bulk, functional PBE.

Cell: 5.120 5.933 6.330 Å, 76.28 66.15 64.44°
Atoms (fractional coordinates):
1 Tl 0.799 0.803 0.598
2 Tl 0.201 0.197 0.402
3 Bi 0.000 0.000 0.000
4 Pb 0.398 0.402 0.801
5 Pb 0.602 0.598 0.199

Properties
Size of the total moment (μB per formula unit): 0.0
Offset from the most stable computed form (meV/atom): 0


An optimized crystal structure of La12Ag3O5. Source: Alexandria via LeMat-Bulk, functional PBE.

Cell: 14.165 14.165 14.165 Å, 109.47 109.47 109.47°
Atoms (fractional coordinates):
1 Ag 0.750 0.375 0.125
2 Ag 0.875 0.750 0.125
3 Ag 0.375 0.750 0.625
4 Ag 0.250 0.125 0.375
5 Ag 0.875 0.125 0.250
6 Ag 0.375 0.625 0.250
7 Ag 0.625 0.375 0.750
8 Ag 0.125 0.875 0.750
9 Ag 0.750 0.875 0.625
10 Ag 0.625 0.250 0.375
11 Ag 0.125 0.250 0.875
12 Ag 0.250 0.625 0.875
13 O 0.125 0.375 0.250
14 O 0.000 0.500 0.000
15 O 0.000 0.000 0.000
16 O 0.375 0.250 0.125
17 O 0.500 0.000 0.500
18 O 0.500 0.500 0.000
19 O 0.125 0.750 0.375
20 O 0.750 0.125 0.875
21 O 0.750 0.625 0.375
22 O 0.375 0.125 0.750
23 O 0.625 0.875 0.250
24 O 0.500 0.500 0.500
25 O 0.500 0.000 0.000
26 O 0.000 0.000 0.500
27 O 0.250 0.375 0.625
28 O 0.250 0.875 0.125
29 O 0.000 0.500 0.500
30 O 0.875 0.250 0.625
31 O 0.625 0.750 0.875
32 O 0.875 0.625 0.750
33 La 0.700 0.109 0.013
34 La 0.313 0.513 0.404
35 La 0.987 0.391 0.300
36 La 0.513 0.200 0.109
37 La 0.591 0.700 0.687
38 La 0.987 0.596 0.187
39 La 0.313 0.800 0.409
40 La 0.096 0.909 0.109
41 La 0.596 0.987 0.687
42 La 0.700 0.591 0.187
43 La 0.800 0.487 0.391
44 La 0.813 0.904 0.013
45 La 0.109 0.700 0.513
46 La 0.391 0.404 0.091
47 La 0.091 0.904 0.391
48 La 0.409 0.109 0.596
49 La 0.091 0.187 0.200
50 La 0.487 0.687 0.096
51 La 0.813 0.909 0.300
52 La 0.109 0.409 0.096
53 La 0.391 0.987 0.800
54 La 0.596 0.609 0.409
55 La 0.904 0.813 0.513
56 La 0.800 0.313 0.909
57 La 0.404 0.391 0.591
58 La 0.096 0.187 0.487
59 La 0.200 0.687 0.091
60 La 0.187 0.091 0.700
61 La 0.609 0.013 0.200
62 La 0.891 0.591 0.904
63 La 0.513 0.313 0.904
64 La 0.591 0.891 0.404
65 La 0.909 0.813 0.800
66 La 0.909 0.096 0.609
67 La 0.891 0.300 0.487
68 La 0.187 0.096 0.987
69 La 0.609 0.596 0.909
70 La 0.404 0.013 0.313
71 La 0.300 0.409 0.813
72 La 0.200 0.513 0.609
73 La 0.904 0.091 0.891
74 La 0.687 0.200 0.591
75 La 0.487 0.800 0.891
76 La 0.013 0.404 0.813
77 La 0.409 0.300 0.313
78 La 0.013 0.609 0.700
79 La 0.687 0.487 0.596
80 La 0.300 0.891 0.987

Properties
Size of the total moment (μB per formula unit): 0.0
E_form (uncorrected) (kJ/mol of formula units): -2753


size of the total moment of number 2 (La12Ag3O5)?
0.0 μB per formula unit


Please write out number 1 again, unchanged.
An optimized crystal structure of Tl2BiPb2. Source: Alexandria via LeMat-Bulk, functional PBE.

Cell: 5.120 5.933 6.330 Å, 76.28 66.15 64.44°
Atoms (fractional coordinates):
1 Tl 0.799 0.803 0.598
2 Tl 0.201 0.197 0.402
3 Bi 0.000 0.000 0.000
4 Pb 0.398 0.402 0.801
5 Pb 0.602 0.598 0.199

Properties
Size of the total moment (μB per formula unit): 0.0
Offset from the most stable computed form (meV/atom): 0